Entry 1:
VASP calculation (PBE) on a relaxed Hg3C crystal.

Cell lengths 3.6487, 3.6487, 7.9982 Å; angles 90.00, 90.00, 121.82 degrees
Atoms (fractional coordinates):
Hg (0.0000, 0.0000, 0.0000)
Hg (0.5000, 0.5000, 0.3035)
Hg (0.5000, 0.5000, 0.6965)
C (0.0000, 0.0000, 0.5000)

Values from the calculation:
* ΔE_f: 1307.9 meV/atom
* energy above the most stable polymorph in this dataset: 0.905 eV/atom

***

Entry 2:
VASP calculation (PBE) on a relaxed HgC crystal.

Cell lengths 7.5121, 7.5121, 7.5121 Å; angles 154.87, 154.87, 35.83 degrees
Atoms (fractional coordinates):
Hg (0.3750, 0.6250, 0.7500)
Hg (0.6250, 0.3750, 0.2500)
C (0.1250, 0.8750, 0.2500)
C (0.8750, 0.1250, 0.7500)

Values from the calculation:
* ΔE_f: 2473.4 meV/atom
* energy above the most stable polymorph in this dataset: 1.936 eV/atom

***

Entry 3:
VASP calculation (PBE) on a relaxed Hg4C3 crystal.

Cell lengths 4.8931, 4.8931, 4.8931 Å; angles 90.00, 90.00, 90.00 degrees
Atoms (fractional coordinates):
Hg (0.0000, 0.0000, 0.0000)
Hg (0.0000, 0.5000, 0.5000)
Hg (0.5000, 0.0000, 0.5000)
Hg (0.5000, 0.5000, 0.0000)
C (0.0000, 0.0000, 0.5000)
C (0.0000, 0.5000, 0.0000)
C (0.5000, 0.0000, 0.0000)

Values from the calculation:
* ΔE_f: 1938.4 meV/atom
* energy above the most stable polymorph in this dataset: 0.016 eV/atom

***

Entry 4:
VASP calculation (PBE) on a relaxed Hg3C crystal.

Cell lengths 10.1439, 10.1439, 2.7118 Å; angles 90.00, 90.00, 129.90 degrees
Atoms (fractional coordinates):
Hg (0.0819, 0.9182, 0.7500)
Hg (0.1481, 0.4777, 0.7500)
Hg (0.4777, 0.1481, 0.2500)
Hg (0.5223, 0.8519, 0.7500)
Hg (0.8519, 0.5223, 0.2500)
Hg (0.9182, 0.0819, 0.2500)
C (0.4994, 0.5006, 0.7500)
C (0.5006, 0.4994, 0.2500)

Values from the calculation:
* ΔE_f: 402.6 meV/atom
* energy above the most stable polymorph in this dataset: 0.000 eV/atom

***

Entry 5:
VASP calculation (PBE) on a relaxed HgC crystal.

Cell lengths 7.7086, 7.7086, 5.8754 Å; angles 108.33, 108.33, 20.43 degrees
Atoms (fractional coordinates):
Hg (0.0000, 0.0000, 0.0000)
Hg (0.0747, 0.0747, 0.5694)
Hg (0.7929, 0.7929, 0.5754)
C (0.2822, 0.2822, 0.2736)
C (0.3069, 0.3069, 0.0685)
C (0.8156, 0.8156, 0.9593)

Values from the calculation:
* ΔE_f: 971.5 meV/atom
* energy above the most stable polymorph in this dataset: 0.434 eV/atom

***

Entry 6:
VASP calculation (PBE) on a relaxed Hg3C5 crystal.

Cell lengths 8.4167, 8.4167, 7.8739 Å; angles 97.95, 97.95, 137.79 degrees
Atoms (fractional coordinates):
Hg (0.0000, 0.0000, 0.0000)
Hg (0.2267, 0.2267, 0.4574)
Hg (0.2919, 0.7255, 0.0172)
Hg (0.5985, 0.9301, 0.5320)
Hg (0.7255, 0.2919, 0.0172)
Hg (0.9301, 0.5985, 0.5320)
C (0.0319, 0.4457, 0.4812)
C (0.1004, 0.3582, 0.4624)
C (0.3582, 0.1004, 0.4624)
C (0.3742, 0.3742, 0.0587)
C (0.4457, 0.0319, 0.4812)
C (0.4934, 0.6242, 0.1180)
C (0.6242, 0.4934, 0.1180)
C (0.6844, 0.6844, 0.0589)
C (0.7553, 0.8341, 0.5930)
C (0.8341, 0.7553, 0.5930)

Values from the calculation:
* ΔE_f: 1222.5 meV/atom
* energy above the most stable polymorph in this dataset: 0.000 eV/atom

***

Entry 7:
VASP calculation (PBE) on a relaxed Hg3C crystal.

Cell lengths 5.9484, 5.9484, 3.9915 Å; angles 90.00, 90.00, 139.10 degrees
Atoms (fractional coordinates):
Hg (0.0000, 0.0000, 0.0000)
Hg (0.3431, 0.6569, 0.5000)
Hg (0.6569, 0.3431, 0.5000)
C (0.5000, 0.5000, 0.0000)

Values from the calculation:
* ΔE_f: 1075.6 meV/atom
* energy above the most stable polymorph in this dataset: 0.673 eV/atom

***

Entry 8:
VASP calculation (PBE) on a relaxed HgC4 crystal.

Cell lengths 4.4796, 4.4796, 4.4796 Å; angles 109.47, 109.47, 109.47 degrees
Atoms (fractional coordinates):
Hg (0.0000, 0.0000, 0.0000)
C (0.0000, 0.0000, 0.5000)
C (0.0000, 0.5000, 0.0000)
C (0.5000, 0.0000, 0.0000)
C (0.5000, 0.5000, 0.5000)

Values from the calculation:
* ΔE_f: 4422.5 meV/atom
* energy above the most stable polymorph in this dataset: 2.963 eV/atom

***

Entry 9:
VASP calculation (PBE) on a relaxed Hg3C crystal.

Cell lengths 3.0933, 3.0933, 8.4087 Å; angles 90.00, 90.00, 90.00 degrees
Atoms (fractional coordinates):
Hg (0.0000, 0.0000, 0.0000)
Hg (0.5000, 0.5000, 0.3155)
Hg (0.5000, 0.5000, 0.6845)
C (0.0000, 0.0000, 0.5000)

Values from the calculation:
* ΔE_f: 1364.9 meV/atom
* energy above the most stable polymorph in this dataset: 0.962 eV/atom

***

Entry 10:
VASP calculation (PBE) on a relaxed Hg2C3 crystal.

Cell lengths 14.0053, 14.0053, 14.0053 Å; angles 11.02, 11.02, 11.02 degrees
Atoms (fractional coordinates):
Hg (0.1078, 0.1078, 0.1078)
Hg (0.8922, 0.8922, 0.8922)
C (0.3333, 0.3333, 0.3333)
C (0.5000, 0.5000, 0.5000)
C (0.6667, 0.6667, 0.6667)

Values from the calculation:
* ΔE_f: 1561.1 meV/atom
* energy above the most stable polymorph in this dataset: 0.527 eV/atom

***

Entry 11:
VASP calculation (PBE) on a relaxed HgC crystal.

Cell lengths 2.6369, 2.6369, 9.4400 Å; angles 90.00, 90.00, 90.00 degrees
Atoms (fractional coordinates):
Hg (0.2500, 0.2500, 0.1813)
Hg (0.7500, 0.7500, 0.8187)
C (0.2500, 0.2500, 0.4976)
C (0.7500, 0.7500, 0.5024)

Values from the calculation:
* ΔE_f: 1889.6 meV/atom
* energy above the most stable polymorph in this dataset: 1.352 eV/atom

***

Entry 12:
VASP calculation (PBE) on a relaxed HgC crystal.

Cell lengths 3.4699, 3.4699, 5.9004 Å; angles 90.00, 90.00, 120.00 degrees
Atoms (fractional coordinates):
Hg (0.0000, 0.0000, 0.0000)
Hg (0.0000, 0.0000, 0.5000)
C (0.3333, 0.6667, 0.2500)
C (0.6667, 0.3333, 0.7500)

Values from the calculation:
* ΔE_f: 2413.9 meV/atom
* energy above the most stable polymorph in this dataset: 1.876 eV/atom

***

Entry 13:
VASP calculation (PBE) on a relaxed HgC crystal.

Cell lengths 4.3667, 4.3667, 5.3273 Å; angles 92.24, 92.24, 48.73 degrees
Atoms (fractional coordinates):
Hg (0.1732, 0.1732, 0.3042)
Hg (0.8268, 0.8268, 0.6958)
C (0.4405, 0.4405, 0.9152)
C (0.5595, 0.5595, 0.0848)

Values from the calculation:
* ΔE_f: 1138.3 meV/atom
* energy above the most stable polymorph in this dataset: 0.601 eV/atom

***

Entry 14:
VASP calculation (PBE) on a relaxed Hg3C5 crystal.

Cell lengths 7.5671, 6.0173, 7.5742 Å; angles 90.00, 119.92, 90.00 degrees
Atoms (fractional coordinates):
Hg (0.0000, 0.0000, 0.0000)
Hg (0.0025, 0.5000, 0.7249)
Hg (0.1975, 0.0000, 0.6531)
Hg (0.2689, 0.5000, 0.1956)
Hg (0.4730, 0.5000, 0.9288)
Hg (0.5421, 0.0000, 0.1976)
C (0.2479, 0.2367, 0.9498)
C (0.2479, 0.7633, 0.9498)
C (0.4803, 0.0000, 0.6275)
C (0.4810, 0.5000, 0.5063)
C (0.5715, 0.0000, 0.5068)
C (0.5717, 0.5000, 0.7164)
C (0.6913, 0.5000, 0.6256)
C (0.6920, 0.0000, 0.7183)
C (0.9143, 0.1072, 0.2839)
C (0.9143, 0.8928, 0.2839)

Values from the calculation:
* ΔE_f: 1696.0 meV/atom
* energy above the most stable polymorph in this dataset: 0.474 eV/atom

***

Entry 15:
VASP calculation (PBE) on a relaxed HgC crystal.

Cell lengths 7.4219, 7.0456, 5.1393 Å; angles 73.17, 65.32, 41.51 degrees
Atoms (fractional coordinates):
Hg (0.0870, 0.6630, 0.0870)
Hg (0.3370, 0.9130, 0.3370)
Hg (0.6630, 0.0870, 0.6630)
Hg (0.9130, 0.3370, 0.9130)
C (0.0130, 0.0130, 0.7370)
C (0.2630, 0.2630, 0.9870)
C (0.7370, 0.7370, 0.0130)
C (0.9870, 0.9870, 0.2630)

Values from the calculation:
* ΔE_f: 2248.8 meV/atom
* energy above the most stable polymorph in this dataset: 1.711 eV/atom

***

Entry 16:
VASP calculation (PBE) on a relaxed Hg3C crystal.

Cell lengths 4.8775, 4.8775, 4.8775 Å; angles 90.00, 90.00, 90.00 degrees
Atoms (fractional coordinates):
Hg (0.0000, 0.0000, 0.5000)
Hg (0.0000, 0.5000, 0.0000)
Hg (0.5000, 0.0000, 0.0000)
C (0.0000, 0.0000, 0.0000)

Values from the calculation:
* ΔE_f: 1192.5 meV/atom
* energy above the most stable polymorph in this dataset: 0.790 eV/atom

***

Entry 17:
VASP calculation (PBE) on a relaxed HgC crystal.

Cell lengths 6.7341, 6.7341, 8.0240 Å; angles 126.52, 126.52, 22.86 degrees
Atoms (fractional coordinates):
Hg (0.0000, 0.0000, 0.0000)
Hg (0.0013, 0.0013, 0.5620)
Hg (0.3182, 0.3182, 0.1005)
C (0.2267, 0.2267, 0.5055)
C (0.6116, 0.6116, 0.8922)
C (0.7305, 0.7305, 0.5093)

Values from the calculation:
* ΔE_f: 1258.3 meV/atom
* energy above the most stable polymorph in this dataset: 0.721 eV/atom

***

Entry 18:
VASP calculation (PBE) on a relaxed Hg3C4 crystal.

Cell lengths 4.7861, 4.7861, 4.7861 Å; angles 90.00, 90.00, 90.00 degrees
Atoms (fractional coordinates):
Hg (0.0000, 0.0000, 0.5000)
Hg (0.0000, 0.5000, 0.0000)
Hg (0.5000, 0.0000, 0.0000)
C (0.0000, 0.0000, 0.0000)
C (0.0000, 0.5000, 0.5000)
C (0.5000, 0.0000, 0.5000)
C (0.5000, 0.5000, 0.0000)

Values from the calculation:
* ΔE_f: 2919.2 meV/atom
* energy above the most stable polymorph in this dataset: 1.224 eV/atom

***

Entry 19:
VASP calculation (PBE) on a relaxed Hg8C crystal.

Cell lengths 9.3650, 9.3650, 9.3650 Å; angles 91.29, 91.29, 162.72 degrees
Atoms (fractional coordinates):
Hg (0.0000, 0.3283, 0.3283)
Hg (0.0000, 0.6717, 0.6717)
Hg (0.3283, 0.0000, 0.3283)
Hg (0.3732, 0.3732, 0.7465)
Hg (0.3732, 0.6268, 0.0000)
Hg (0.6268, 0.3732, 0.0000)
Hg (0.6268, 0.6268, 0.2535)
Hg (0.6717, 0.0000, 0.6717)
C (0.0000, 0.0000, 0.0000)

Values from the calculation:
* ΔE_f: 672.1 meV/atom

***

Entry 20:
VASP calculation (PBE) on a relaxed Hg3C crystal.

Cell lengths 5.2246, 5.2246, 5.2246 Å; angles 131.12, 131.12, 71.62 degrees
Atoms (fractional coordinates):
Hg (0.0000, 0.0000, 0.0000)
Hg (0.2500, 0.7500, 0.5000)
Hg (0.7500, 0.2500, 0.5000)
C (0.5000, 0.5000, 0.0000)

Values from the calculation:
* ΔE_f: 1514.3 meV/atom
* energy above the most stable polymorph in this dataset: 1.112 eV/atom

***

Number 1: E -4.9 eV/cell, spin magnetization 0.188 μB per atom. Number 2: E -9.2 eV/cell, spin magnetization 0.431 μB per atom. Number 3: E -15.3 eV/cell, spin magnetization 0.000 μB per atom. Number 4: E -17.0 eV/cell, spin magnetization 0.000 μB per atom. Number 5: E -22.7 eV/cell, spin magnetization 0.000 μB per atom. Number 6: E -74.5 eV/cell, spin magnetization 0.018 μB per atom. Number 7: E -5.8 eV/cell, spin magnetization 0.000 μB per atom. Number 8: E -15.1 eV/cell, spin magnetization 0.000 μB per atom. Number 9: E -4.7 eV/cell, spin magnetization 0.000 μB per atom. Number 10: E -20.5 eV/cell, spin magnetization 0.024 μB per atom. Number 11: E -11.5 eV/cell, spin magnetization 0.000 μB per atom. Number 12: E -9.4 eV/cell, spin magnetization 0.000 μB per atom. Number 13: E -14.5 eV/cell, spin magnetization 0.000 μB per atom. Number 14: E -66.9 eV/cell, spin magnetization 0.000 μB per atom. Number 15: E -20.1 eV/cell, spin magnetization 0.000 μB per atom. Number 16: E -5.4 eV/cell, spin magnetization 0.000 μB per atom. Number 17: E -21.0 eV/cell, spin magnetization 0.045 μB per atom. Number 18: E -17.4 eV/cell, spin magnetization 0.000 μB per atom. Number 19: E -5.6 eV/cell, spin magnetization 0.000 μB per atom. Number 20: E -4.1 eV/cell, spin magnetization 0.000 μB per atom.